First-principles (PBE) data for a relaxed RbCd4In8 crystal, as listed in Alexandria.

abc: 10.983 10.983 5.973
angles: 90.00 90.00 90.00
Space group I4/mmm (No. 139)
Unique sites:
Rb  0.000  0.000  0.000 (multiplicity 2)
Cd  0.250  0.250  0.250 (multiplicity 8)
In  0.000  0.215  0.500 (multiplicity 8)
In  0.000  0.355  0.000 (multiplicity 8)

Results
Fermi-level density of states ... 9.22 states/eV per cell
Electronic total energy ... -2.06 eV per atom
Crystal system ... tetragonal